Ba2Ca, optimized geometry, DFT PBE; space group = Pnma; crystal system = orthorhombic; energy of formation = 0.90 kcal/mol of atoms
1.0
6.371 0.000 0.000
0.000 8.422 0.000
0.000 0.000 12.590
Ba Ca
8 4
Direct
0.250 0.094 0.759
0.750 0.406 0.259
0.250 0.594 0.741
0.750 0.906 0.241
0.250 0.146 0.420
0.750 0.354 0.920
0.250 0.646 0.080
0.750 0.854 0.580
0.250 0.641 0.416
0.750 0.859 0.916
0.250 0.141 0.084
0.750 0.359 0.584

=====

BaCa3, optimized geometry, DFT PBE; space group = P-6m2; crystal system = hexagonal; energy of formation = 1.09 kcal/mol of atoms
1.0
-1.262 3.344 -1.871
-1.846 -1.249 3.362
8.360 7.227 7.275
Ca Ba
3 1
Direct
0.000 0.000 0.500
0.667 0.333 0.261
0.667 0.333 0.739
0.000 0.000 0.000

=====

Computed values of electronic total energy (unit: eV/atom) for the preceding records, in sequence: -1.910; -1.935.